1.
Density functional theory data (meta-GGA SCAN) for a crystal of Fe2PbCl relaxed with PBEsol.

a = 3.273 Å, b = 4.582 Å, c = 5.400 Å
α = 90.00°, β = 95.80°, γ = 90.00°
Fractional positions:
Fe (0.193, 0.000, 0.342)
Fe (0.807, 0.000, 0.658)
Pb (0.500, 0.500, 0.500)
Cl (0.000, 0.500, 0.000)

## Properties
Energy above the lowest structure with this stoichiometry   0.404 eV per atom
Energy relative to the elements, uncorrected   0.3760 eV/atom
Density   7304 kg/m3
Total magnetic moment   5.58 Bohr magnetons per cell
Total energy   -29.63 eV per atom



2.
Density functional theory data (meta-GGA SCAN) for a crystal of Sc2CrCu relaxed with PBEsol.

a = 5.528 Å, b = 5.528 Å, c = 5.528 Å
α = 146.47°, β = 132.51°, γ = 59.38°
Fractional positions:
Sc (0.000, 0.000, 0.000)
Sc (0.718, 0.218, 0.500)
Cr (0.269, 0.769, 0.500)
Cu (0.471, 0.471, 0.000)

## Properties
Energy above the lowest structure with this stoichiometry   0.046 eV per atom
Density   5005 kg/m3
Total magnetic moment   2.42 Bohr magnetons per cell
Total energy   -15.55 eV per atom



3.
Density functional theory data (meta-GGA SCAN) for a crystal of Na2BiC relaxed with PBEsol.

a = 7.579 Å, b = 7.579 Å, c = 7.579 Å
α = 95.59°, β = 95.59°, γ = 143.63°
Fractional positions:
Na (0.375, 0.130, 0.255)
Na (0.870, 0.125, 0.245)
Na (0.875, 0.120, 0.745)
Na (0.880, 0.625, 0.755)
Bi (0.250, 0.750, 0.500)
Bi (0.500, 0.500, 0.000)
C (0.000, 0.000, 0.000)
C (0.750, 0.250, 0.500)

## Properties
Density   3615 kg/m3
Total magnetic moment   0.00 Bohr magnetons per cell
Total energy   -23.44 eV per atom



4.
Density functional theory data (meta-GGA SCAN) for a crystal of MnCdMo2 relaxed with PBEsol.

a = 2.666 Å, b = 4.340 Å, c = 5.429 Å
α = 90.00°, β = 100.18°, γ = 90.00°
Fractional positions:
Mn (0.000, 0.000, 0.000)
Cd (0.195, 0.500, 0.733)
Mo (0.542, 0.000, 0.456)
Mo (0.744, 0.500, 0.222)

## Properties
Density   9649 kg/m3
Total magnetic moment   3.14 Bohr magnetons per cell
Total energy   -29.35 eV per atom



total energy of number 4 (MnCdMo2)?
-29.35 eV per atom



Which value of density does entry 1 give?
7304 kg/m3



total energy of number 3 (Na2BiC)?
-23.44 eV per atom



The lowest density belongs to which entry?
Na2BiC